Model P:
This record from the Alexandria database describes a geometry-optimized CaHfS2 structure. The functional is PBE.

Cell and atoms, written as POSCAR:
```
CaHfS2
1.0
3.6727 0.0000 0.0000
-1.8364 3.1807 0.0000
0.0000 0.0000 25.6127
Ca Hf S
3 3 6
direct
0.0000 0.0000 0.0000
0.3333 0.6667 0.6667
0.6667 0.3333 0.3333
0.0000 0.0000 0.5000
0.3333 0.6667 0.1667
0.6667 0.3333 0.8333
0.0000 0.0000 0.1090
0.0000 0.0000 0.8910
0.3333 0.6667 0.5576
0.3333 0.6667 0.7757
0.6667 0.3333 0.2243
0.6667 0.3333 0.4424
```

crystal system: trigonal
N(E_F): 0.69 states/eV/atom
M_tot: 0.622 Bohr magnetons per cell
volume: 299.2 Å³/cell

---

Model Q:
This record from the Alexandria database describes a geometry-optimized CaHfS2 structure. The functional is PBE.

Cell and atoms, written as POSCAR:
```
CaHfS2
1.0
6.6394 0.0000 0.0000
0.0000 6.6394 0.0000
0.0000 0.0000 6.6394
Ca Hf S
4 4 8
direct
0.0000 0.0000 0.0000
0.0000 0.5000 0.5000
0.5000 0.0000 0.5000
0.5000 0.5000 0.0000
0.0000 0.0000 0.5000
0.0000 0.5000 0.0000
0.5000 0.0000 0.0000
0.5000 0.5000 0.5000
0.2500 0.2500 0.2500
0.2500 0.2500 0.7500
0.2500 0.7500 0.2500
0.2500 0.7500 0.7500
0.7500 0.2500 0.2500
0.7500 0.2500 0.7500
0.7500 0.7500 0.2500
0.7500 0.7500 0.7500
```

crystal system: cubic
N(E_F): 0.50 states/eV/atom
M_tot: 6.565 Bohr magnetons per cell
volume: 292.7 Å³/cell

---

Model R:
This record from the Alexandria database describes a geometry-optimized CaHfS2 structure. The functional is PBE.

Cell and atoms, written as POSCAR:
```
CaHfS2
1.0
6.0417 0.0000 0.0000
0.0000 6.0417 0.0000
0.0000 0.0000 11.5849
Ca Hf S
4 4 8
direct
0.0000 0.0000 0.0000
0.0000 0.5000 0.2500
0.5000 0.0000 0.7500
0.5000 0.5000 0.5000
0.0000 0.0000 0.5000
0.0000 0.5000 0.7500
0.5000 0.0000 0.2500
0.5000 0.5000 0.0000
0.2165 0.2500 0.6250
0.2500 0.7165 0.8750
0.2500 0.7835 0.3750
0.2835 0.2500 0.1250
0.7165 0.7500 0.1250
0.7500 0.2165 0.3750
0.7500 0.2835 0.8750
0.7835 0.7500 0.6250
```

crystal system: tetragonal
N(E_F): 0.60 states/eV/atom
M_tot: 0.000 Bohr magnetons per cell
volume: 422.9 Å³/cell

---

Model S:
This record from the Alexandria database describes a geometry-optimized CaHfS2 structure. The functional is PBE.

Cell and atoms, written as POSCAR:
```
CaHfS2
1.0
3.9103 0.0000 0.0000
-1.9552 3.3865 0.0000
0.0000 0.0000 23.9135
Ca Hf S
3 3 6
direct
0.0000 0.0000 0.0000
0.3333 0.6667 0.6667
0.6667 0.3333 0.3333
0.0000 0.0000 0.5000
0.3333 0.6667 0.1667
0.6667 0.3333 0.8333
0.0000 0.0000 0.4003
0.0000 0.0000 0.5997
0.3333 0.6667 0.0670
0.3333 0.6667 0.2664
0.6667 0.3333 0.7336
0.6667 0.3333 0.9330
```

crystal system: trigonal
N(E_F): 0.23 states/eV/atom
M_tot: 0.000 Bohr magnetons per cell
volume: 316.7 Å³/cell

---

model P is favored, and the nearest alternative lies 0.042 eV/atom above it.

---

Model P:
This record from the Alexandria database describes a geometry-optimized Ca2HfS2 structure. The functional is PBE.

Cell and atoms, written as POSCAR:
```
Ca2HfS2
1.0
4.1587 0.0000 0.0000
0.0000 4.1587 0.0000
0.0000 0.0000 12.6602
Ca Hf S
4 2 4
direct
0.0000 0.5000 0.2500
0.0000 0.5000 0.7500
0.5000 0.0000 0.2500
0.5000 0.0000 0.7500
0.0000 0.0000 0.0000
0.5000 0.5000 0.5000
0.0000 0.0000 0.3907
0.0000 0.0000 0.6093
0.5000 0.5000 0.1093
0.5000 0.5000 0.8907
```

crystal system: tetragonal
N(E_F): 0.68 states/eV/atom
M_tot: 0.000 Bohr magnetons per cell
volume: 219.0 Å³/cell

---

Model Q:
This record from the Alexandria database describes a geometry-optimized Ca2HfS2 structure. The functional is PBE.

Cell and atoms, written as POSCAR:
```
Ca2HfS2
1.0
7.3991 0.0000 0.0000
0.0000 7.3991 0.0000
0.0000 0.0000 3.8229
Ca Hf S
4 2 4
direct
0.1502 0.3498 0.0000
0.3498 0.8498 0.0000
0.6502 0.1502 0.0000
0.8498 0.6502 0.0000
0.0000 0.0000 0.5000
0.5000 0.5000 0.5000
0.1633 0.6633 0.5000
0.3367 0.1633 0.5000
0.6633 0.8367 0.5000
0.8367 0.3367 0.5000
```

crystal system: tetragonal
N(E_F): 0.53 states/eV/atom
M_tot: 1.702 Bohr magnetons per cell
volume: 209.3 Å³/cell

---

model Q is favored, and the nearest alternative lies 0.818 eV/atom above it.

---

Model P:
This record from the Alexandria database describes a geometry-optimized CaHf3S structure. The functional is PBE.

Cell and atoms, written as POSCAR:
```
CaHf3S
1.0
5.0774 0.0000 0.0000
0.0000 5.0774 0.0000
0.0000 0.0000 5.0774
Ca Hf S
1 3 1
direct
0.0000 0.0000 0.0000
0.0000 0.0000 0.5000
0.0000 0.5000 0.0000
0.5000 0.0000 0.0000
0.5000 0.5000 0.5000
```

crystal system: cubic
N(E_F): 1.27 states/eV/atom
M_tot: 0.000 Bohr magnetons per cell
volume: 130.9 Å³/cell

---

Model Q:
This record from the Alexandria database describes a geometry-optimized CaHf3S structure. The functional is PBE.

Cell and atoms, written as POSCAR:
```
CaHf3S
1.0
4.9029 0.0000 0.0000
0.0000 4.9029 0.0000
0.0000 0.0000 4.9029
Ca Hf S
1 3 1
direct
0.0000 0.0000 0.0000
0.0000 0.5000 0.5000
0.5000 0.0000 0.5000
0.5000 0.5000 0.0000
0.5000 0.5000 0.5000
```

crystal system: cubic
N(E_F): 0.25 states/eV/atom
M_tot: 0.000 Bohr magnetons per cell
volume: 117.9 Å³/cell

---

model Q is favored, and the nearest alternative lies 2.226 eV/atom above it.

---

Model P:
This record from the Alexandria database describes a geometry-optimized Ca3HfSb structure. The functional is PBE.

Cell and atoms, written as POSCAR:
```
Ca3HfSb
1.0
5.6884 0.0000 0.0000
0.0000 5.6884 0.0000
0.0000 0.0000 5.6884
Ca Hf Sb
3 1 1
direct
0.0000 0.0000 0.5000
0.0000 0.5000 0.0000
0.5000 0.0000 0.0000
0.0000 0.0000 0.0000
0.5000 0.5000 0.5000
```

crystal system: cubic
N(E_F): 1.31 states/eV/atom
M_tot: 2.028 Bohr magnetons per cell
volume: 184.1 Å³/cell

---

Model Q:
This record from the Alexandria database describes a geometry-optimized Ca3HfSb structure. The functional is PBE.

Cell and atoms, written as POSCAR:
```
Ca3HfSb
1.0
5.8582 0.0000 0.0000
0.0000 5.8582 0.0000
0.0000 0.0000 5.8582
Ca Hf Sb
3 1 1
direct
0.0000 0.0000 0.5000
0.0000 0.5000 0.0000
0.5000 0.0000 0.0000
0.5000 0.5000 0.5000
0.0000 0.0000 0.0000
```

crystal system: cubic
N(E_F): 1.81 states/eV/atom
M_tot: 4.623 Bohr magnetons per cell
volume: 201.0 Å³/cell

---

model Q is favored, and the nearest alternative lies 0.420 eV/atom above it.

---

Model P:
This record from the Alexandria database describes a geometry-optimized CaHfSc2Sb structure. The functional is PBE.

Cell and atoms, written as POSCAR:
```
CaHfSc2Sb
1.0
4.8458 0.0000 0.0000
0.0000 4.8458 0.0000
0.0000 0.0000 5.4533
Ca Hf Sc Sb
1 1 2 1
direct
0.0000 0.0000 0.0000
0.5000 0.5000 0.5000
0.0000 0.5000 0.0000
0.5000 0.0000 0.0000
0.0000 0.0000 0.5000
```

crystal system: tetragonal
N(E_F): 0.84 states/eV/atom
M_tot: 0.461 Bohr magnetons per cell
volume: 128.1 Å³/cell

---

Model Q:
This record from the Alexandria database describes a geometry-optimized CaHfSc2Sb structure. The functional is PBE.

Cell and atoms, written as POSCAR:
```
CaHfSc2Sb
1.0
5.4117 0.0000 0.0000
0.0000 5.4117 0.0000
0.0000 0.0000 5.4279
Ca Hf Sc Sb
1 1 2 1
direct
0.0000 0.0000 0.0000
0.5000 0.5000 0.0000
0.0000 0.5000 0.5000
0.5000 0.0000 0.5000
0.5000 0.5000 0.5000
```

crystal system: tetragonal
N(E_F): 1.77 states/eV/atom
M_tot: 0.000 Bohr magnetons per cell
volume: 159.0 Å³/cell

---

model Q is favored, and the nearest alternative lies 0.782 eV/atom above it.

---

Model P:
This record from the Alexandria database describes a geometry-optimized Ca2HfSc structure. The functional is PBE.

Cell and atoms, written as POSCAR:
```
Ca2HfSc
1.0
8.7189 0.0000 0.0000
0.0000 8.7189 0.0000
0.0000 0.0000 6.2640
Ca Hf Sc
8 4 4
direct
0.2467 0.2500 0.1250
0.2500 0.7467 0.3750
0.2500 0.7533 0.8750
0.2533 0.2500 0.6250
0.7467 0.7500 0.6250
0.7500 0.2467 0.8750
0.7500 0.2533 0.3750
0.7533 0.7500 0.1250
0.0000 0.0000 0.5000
0.0000 0.5000 0.7500
0.5000 0.0000 0.2500
0.5000 0.5000 0.0000
0.0000 0.0000 0.0000
0.0000 0.5000 0.2500
0.5000 0.0000 0.7500
0.5000 0.5000 0.5000
```

crystal system: tetragonal
N(E_F): 1.98 states/eV/atom
M_tot: 0.002 Bohr magnetons per cell
volume: 476.2 Å³/cell

---

Model Q:
This record from the Alexandria database describes a geometry-optimized Ca2HfSc structure. The functional is PBE.

Cell and atoms, written as POSCAR:
```
Ca2HfSc
1.0
7.7846 0.0000 0.0000
0.0000 7.7846 0.0000
0.0000 0.0000 7.7846
Ca Hf Sc
8 4 4
direct
0.2500 0.2500 0.2500
0.2500 0.2500 0.7500
0.2500 0.7500 0.2500
0.2500 0.7500 0.7500
0.7500 0.2500 0.2500
0.7500 0.2500 0.7500
0.7500 0.7500 0.2500
0.7500 0.7500 0.7500
0.0000 0.0000 0.0000
0.0000 0.5000 0.5000
0.5000 0.0000 0.5000
0.5000 0.5000 0.0000
0.0000 0.0000 0.5000
0.0000 0.5000 0.0000
0.5000 0.0000 0.0000
0.5000 0.5000 0.5000
```

crystal system: cubic
N(E_F): 1.96 states/eV/atom
M_tot: 0.000 Bohr magnetons per cell
volume: 471.7 Å³/cell

---

model Q is favored, and the nearest alternative lies 0.256 eV/atom above it.

---

Model P:
This record from the Alexandria database describes a geometry-optimized CaHf2Sc2 structure. The functional is PBE.

Cell and atoms, written as POSCAR:
```
CaHf2Sc2
1.0
8.8621 0.0000 0.0000
0.0000 8.8621 0.0000
0.0000 0.0000 3.2465
Ca Hf Sc
2 4 4
direct
0.0000 0.0000 0.0000
0.5000 0.5000 0.0000
0.1709 0.3291 0.5000
0.3291 0.8291 0.5000
0.6709 0.1709 0.5000
0.8291 0.6709 0.5000
0.1219 0.6219 0.0000
0.3781 0.1219 0.0000
0.6219 0.8781 0.0000
0.8781 0.3781 0.0000
```

crystal system: tetragonal
N(E_F): 0.92 states/eV/atom
M_tot: 0.000 Bohr magnetons per cell
volume: 255.0 Å³/cell

---

Model Q:
This record from the Alexandria database describes a geometry-optimized CaHf2Sc2 structure. The functional is PBE.

Cell and atoms, written as POSCAR:
```
CaHf2Sc2
1.0
8.7968 0.0000 0.0000
0.0000 8.7968 0.0000
0.0000 0.0000 3.3668
Ca Hf Sc
2 4 4
direct
0.0000 0.0000 0.0000
0.5000 0.5000 0.0000
0.1176 0.3824 0.0000
0.3824 0.8824 0.0000
0.6176 0.1176 0.0000
0.8824 0.6176 0.0000
0.1719 0.6719 0.5000
0.3281 0.1719 0.5000
0.6719 0.8281 0.5000
0.8281 0.3281 0.5000
```

crystal system: tetragonal
N(E_F): 1.13 states/eV/atom
M_tot: 0.119 Bohr magnetons per cell
volume: 260.5 Å³/cell

---

model Q is favored, and the nearest alternative lies 0.034 eV/atom above it.

---

Model P:
This record from the Alexandria database describes a geometry-optimized CaHfSe3 structure. The functional is PBE.

Cell and atoms, written as POSCAR:
```
CaHfSe3
1.0
8.8689 0.0000 0.0000
0.0000 3.8622 0.0000
0.0000 0.0000 14.6066
Ca Hf Se
4 4 12
direct
0.1003 0.2500 0.2004
0.3997 0.7500 0.7004
0.6003 0.2500 0.2996
0.8997 0.7500 0.7996
0.1898 0.7500 0.4546
0.3102 0.2500 0.9546
0.6898 0.7500 0.0454
0.8102 0.2500 0.5454
0.0020 0.2500 0.3950
0.1603 0.7500 0.0406
0.1768 0.2500 0.7956
0.3232 0.7500 0.2956
0.3397 0.2500 0.5406
0.4980 0.7500 0.8950
0.5020 0.2500 0.1050
0.6603 0.7500 0.4594
0.6768 0.2500 0.7044
0.8232 0.7500 0.2044
0.8397 0.2500 0.9594
0.9980 0.7500 0.6050
```

crystal system: orthorhombic
M_tot: 0.000 Bohr magnetons per cell
volume: 500.3 Å³/cell

---

Model Q:
This record from the Alexandria database describes a geometry-optimized CaHfSe3 structure. The functional is PBE.

Cell and atoms, written as POSCAR:
```
CaHfSe3
1.0
5.2158 0.0000 0.0000
0.0000 5.2158 0.0000
0.0000 0.0000 5.2158
Ca Hf Se
1 1 3
direct
0.0000 0.0000 0.0000
0.5000 0.5000 0.5000
0.0000 0.0000 0.5000
0.0000 0.5000 0.0000
0.5000 0.0000 0.0000
```

crystal system: cubic
N(E_F): 0.42 states/eV/atom
M_tot: 0.000 Bohr magnetons per cell
volume: 141.9 Å³/cell

---

Model R:
This record from the Alexandria database describes a geometry-optimized CaHfSe3 structure. The functional is PBE.

Cell and atoms, written as POSCAR:
```
CaHfSe3
1.0
5.1860 0.0000 0.0000
0.0000 5.1860 0.0000
0.0000 0.0000 5.1860
Ca Hf Se
1 1 3
direct
0.0000 0.0000 0.0000
0.5000 0.5000 0.5000
0.0000 0.5000 0.5000
0.5000 0.0000 0.5000
0.5000 0.5000 0.0000
```

crystal system: cubic
N(E_F): 0.00 states/eV/atom
M_tot: 0.000 Bohr magnetons per cell
volume: 139.5 Å³/cell

---

model P is favored, and the nearest alternative lies 0.300 eV/atom above it.